[1]
VASP calculation (PBE-GGA) on a relaxed La3TaCd crystal.

Unit cell a=5.655 b=5.655 c=5.655 alpha=90.00 beta=90.00 gamma=90.00
Fractional coordinates of all 5 atoms:
La (0.500, 0.000, 0.000)
La (0.000, 0.500, 0.000)
La (0.000, 0.000, 0.500)
Ta (0.000, 0.000, 0.000)
Cd (0.500, 0.500, 0.500)

Values from the calculation:
For the density, the calculation gives 6.5 Mg/m³. Its total energy is -5.104 eV/atom. The value obtained for the energy above the lowest structure with this stoichiometry is 0.000 eV per atom. As for the crystal system: cubic. As for the formation energy: 406 meV per atom.

[2]
VASP calculation (PBE-GGA) on a relaxed LaTa2Cd crystal.

Unit cell a=2.941 b=2.941 c=10.181 alpha=90.00 beta=90.00 gamma=90.00
Fractional coordinates of all 4 atoms:
Cd (0.000, 0.000, 0.473)
Ta (0.000, 0.000, 0.029)
Ta (0.500, 0.500, 0.245)
La (0.500, 0.500, 0.754)

Values from the calculation:
For the density, the calculation gives 11.6 Mg/m³. Its total energy is -7.101 eV/atom. As for the crystal system: tetragonal. As for the formation energy: 286 meV per atom.

[3]
VASP calculation (PBE-GGA) on a relaxed LaTaCd2 crystal.

Unit cell a=5.157 b=5.157 c=5.157 alpha=60.00 beta=60.00 gamma=60.00
Fractional coordinates of all 4 atoms:
La (0.000, 0.000, 0.000)
Cd (0.750, 0.750, 0.750)
Cd (0.250, 0.250, 0.250)
Ta (0.500, 0.500, 0.500)

Values from the calculation:
For the density, the calculation gives 9.3 Mg/m³. Its total energy is -4.298 eV/atom. The value obtained for the energy above the lowest structure with this stoichiometry is 0.214 eV per atom. As for the crystal system: cubic. As for the formation energy: 354 meV per atom.

[4]
VASP calculation (PBE-GGA) on a relaxed La2TaCd crystal.

Unit cell a=5.518 b=5.518 c=6.378 alpha=86.41 beta=86.41 gamma=33.79
Fractional coordinates of all 4 atoms:
Ta (0.250, 0.250, 0.250)
La (0.008, 0.008, 0.014)
La (0.492, 0.492, 0.486)
Cd (0.750, 0.750, 0.750)

Values from the calculation:
For the density, the calculation gives 8.8 Mg/m³. Its total energy is -5.221 eV/atom. As for the crystal system: monoclinic. As for the formation energy: 435 meV per atom.

[5]
VASP calculation (PBE-GGA) on a relaxed LaTa2Cd crystal.

Unit cell a=3.486 b=3.486 c=7.810 alpha=90.00 beta=90.00 gamma=90.00
Fractional coordinates of all 4 atoms:
Cd (0.000, 0.000, 0.455)
Ta (0.000, 0.000, 0.057)
Ta (0.500, 0.500, 0.217)
La (0.500, 0.500, 0.772)

Values from the calculation:
For the density, the calculation gives 10.7 Mg/m³. Its total energy is -7.169 eV/atom. As for the crystal system: tetragonal. As for the formation energy: 218 meV per atom.

[6]
VASP calculation (PBE-GGA) on a relaxed La2TaCd crystal.

Unit cell a=11.413 b=11.413 c=11.413 alpha=16.89 beta=16.89 gamma=16.89
Fractional coordinates of all 4 atoms:
La (0.994, 0.994, 0.994)
La (0.506, 0.506, 0.506)
Ta (0.250, 0.250, 0.250)
Cd (0.750, 0.750, 0.750)

Values from the calculation:
For the density, the calculation gives 8.7 Mg/m³. Its total energy is -5.316 eV/atom. As for the crystal system: trigonal. As for the formation energy: 340 meV per atom.